Computed, not measured: a geometry-optimized Y4NiC3 structure at the PBE level of DFT.

Unit cell a=3.5792 b=3.5792 c=25.6826 alpha=90.00 beta=90.00 gamma=120.00
Closest atoms and distances in Å follow each position.
Fractional coordinates of all 16 atoms:
C 0.0000 0.0000 0.0000  6 Y 2.55
C 0.6667 0.3333 0.1186  6 Y 2.44-2.58
C 0.6667 0.3333 0.3814  6 Y 2.44-2.58
C 0.0000 0.0000 0.5000  6 Y 2.55
C 0.3333 0.6667 0.6186  6 Y 2.44-2.58
C 0.3333 0.6667 0.8814  6 Y 2.44-2.58
Ni 0.3333 0.6667 0.2500  6 Y 2.94
Ni 0.6667 0.3333 0.7500  6 Y 2.94
Y 0.3333 0.6667 0.0584  6 C 2.55-2.58
Y 0.0000 0.0000 0.1688  3 C 2.44
Y 0.0000 0.0000 0.3312  3 C 2.44
Y 0.3333 0.6667 0.4416  6 C 2.55-2.58
Y 0.6667 0.3333 0.5584  6 C 2.55-2.58
Y 0.0000 0.0000 0.6688  3 C 2.44
Y 0.0000 0.0000 0.8312  3 C 2.44
Y 0.6667 0.3333 0.9416  6 C 2.55-2.58

The value obtained for the size of the total moment is 0.465 μB/f.u. As for the space-group type: No. 194. The total energy is -7.46 eV/atom.

***

Computed, not measured: a geometry-optimized Rb3PmBr6 structure at the PBE level of DFT.

Unit cell a=8.1503 b=8.6779 c=13.9938 alpha=90.00 beta=124.07 gamma=90.00
Closest atoms and distances in Å follow each position.
Fractional coordinates of all 20 atoms:
Br 0.3399 0.1799 0.0562  1 Pm 2.88
Br 0.2442 0.7254 0.0776  1 Pm 2.90
Br 0.0965 0.0568 0.2286  1 Pm 2.88
Br 0.9035 0.5568 0.2714  1 Pm 2.88
Br 0.7558 0.2254 0.4224  1 Pm 2.90
Br 0.6601 0.6799 0.4438  1 Pm 2.88
Br 0.3399 0.3201 0.5562  1 Pm 2.88
Br 0.2442 0.7746 0.5776  1 Pm 2.90
Br 0.0965 0.4432 0.7286  1 Pm 2.88
Br 0.9035 0.9432 0.7714  1 Pm 2.88
Br 0.7558 0.2746 0.9224  1 Pm 2.90
Br 0.6601 0.8201 0.9438  1 Pm 2.88
Pm 0.0000 0.0000 0.0000  6 Br 2.88-2.90
Pm 0.0000 0.5000 0.5000  6 Br 2.88-2.90
Rb 0.5000 0.5000 0.0000  6 Br 3.34-3.45
Rb 0.7122 0.9247 0.2420  6 Br 3.44-3.74
Rb 0.2878 0.4247 0.2580  6 Br 3.44-3.74
Rb 0.5000 0.0000 0.5000  6 Br 3.34-3.45
Rb 0.7122 0.5753 0.7420  6 Br 3.44-3.74
Rb 0.2878 0.0753 0.7580  6 Br 3.44-3.74

The value obtained for the size of the total moment is 0.002 μB/f.u. As for the space-group type: No. 14. The total energy is -3.61 eV/atom.

***

Computed, not measured: a geometry-optimized PrHoCu2Bi4 structure at the PBE level of DFT.

Unit cell a=4.5648 b=4.5648 c=9.7573 alpha=90.00 beta=90.00 gamma=90.00
Closest atoms and distances in Å follow each position.
Fractional coordinates of all 8 atoms:
Bi 0.0000 0.0000 0.1578  4 Cu 2.79
Bi 0.5000 0.0000 0.5087  4 Bi 3.23, 2 Ho 3.41, 2 Pr 3.48
Bi 0.0000 0.5000 0.5087  4 Bi 3.23, 2 Ho 3.41, 2 Pr 3.48
Bi 0.5000 0.5000 0.8305  4 Cu 2.78
Cu 0.5000 0.0000 0.9929  4 Bi 2.78-2.79
Cu 0.0000 0.5000 0.9929  4 Bi 2.78-2.79
Ho 0.0000 0.0000 0.7689  4 Cu 3.16, 8 Bi 3.28-3.41
Pr 0.5000 0.5000 0.2397  4 Cu 3.32, 8 Bi 3.33-3.48

The value obtained for the size of the total moment is 0.002 μB/f.u. As for the space-group type: No. 99. The total energy is -4.57 eV/atom.

***

Computed, not measured: a geometry-optimized LaNdZn6Ge3 structure at the PBE level of DFT.

Unit cell a=7.7058 b=7.7058 c=4.1342 alpha=90.00 beta=90.00 gamma=120.00
Closest atoms and distances in Å follow each position.
Fractional coordinates of all 11 atoms:
Ge 0.3352 0.0483 0.5000  5 Zn 2.54-2.67
Ge 0.9517 0.2869 0.5000  5 Zn 2.54-2.67
Ge 0.7131 0.6648 0.5000  5 Zn 2.54-2.67
La 0.0000 0.0000 0.0000  6 Ge 3.18, 9 Zn 3.28-3.45
Nd 0.6667 0.3333 0.0000  6 Ge 3.16, 9 Zn 3.26-3.44
Zn 0.1432 0.4791 0.0000  2 Zn 2.52, 2 Ge 2.54
Zn 0.5209 0.6641 0.0000  2 Zn 2.52, 2 Ge 2.54
Zn 0.3359 0.8568 0.0000  2 Zn 2.52, 2 Ge 2.54
Zn 0.3341 0.3774 0.5000  3 Ge 2.54-2.67, 2 Zn 2.84
Zn 0.0433 0.6659 0.5000  3 Ge 2.54-2.67, 2 Zn 2.84
Zn 0.6226 0.9567 0.5000  3 Ge 2.54-2.67, 2 Zn 2.84

The value obtained for the size of the total moment is 0.003 μB/f.u. As for the space-group type: No. 174. The total energy is -3.27 eV/atom.

***

Computed, not measured: a geometry-optimized HoCo3 structure at the PBE level of DFT.

Unit cell a=5.7147 b=5.7147 c=4.1828 alpha=90.00 beta=90.00 gamma=120.00
Closest atoms and distances in Å follow each position.
Fractional coordinates of all 8 atoms:
Co 0.1375 0.2751 0.2500  6 Co 2.36-2.50
Co 0.7249 0.8625 0.2500  6 Co 2.36-2.50
Co 0.1375 0.8625 0.2500  6 Co 2.36-2.50
Co 0.8625 0.1375 0.7500  6 Co 2.36-2.50
Co 0.2751 0.1375 0.7500  6 Co 2.36-2.50
Co 0.8625 0.7249 0.7500  6 Co 2.36-2.50
Ho 0.6667 0.3333 0.2500  12 Co 2.85-2.87
Ho 0.3333 0.6667 0.7500  12 Co 2.85-2.87

The value obtained for the size of the total moment is 3.527 μB/f.u. As for the space-group type: No. 194. The energy of formation is 0.040 eV/atom.

***

Computed, not measured: a geometry-optimized TmAsN2O structure at the PBE level of DFT.

Unit cell a=5.4018 b=5.4018 c=5.4018 alpha=87.56 beta=121.17 gamma=121.67
Closest atoms and distances in Å follow each position.
Fractional coordinates of all 10 atoms:
As 0.2847 0.2847 0.0000  4 N 1.92-1.93, 2 O 2.02
As 0.2847 0.7847 0.5000  4 N 1.92-1.93, 2 O 2.02
N 0.7834 0.5949 0.3074  2 As 1.92-1.93
N 0.2875 0.0949 0.3115  2 As 1.92-1.93
N 0.7834 0.9760 0.6885  2 As 1.92-1.93
N 0.2875 0.4760 0.6926  2 As 1.92-1.93
O 0.1734 0.5249 0.1486  2 As 2.02, 1 Tm 2.24
O 0.3763 0.0249 0.8514  2 As 2.02, 1 Tm 2.24
Tm 0.8116 0.0388 0.2728  1 O 2.24, 4 N 2.32-2.33
Tm 0.7660 0.5388 0.7272  1 O 2.24, 4 N 2.32-2.33

The value obtained for the size of the total moment is 0.000 μB/f.u. As for the space-group type: No. 46. The total energy is -6.93 eV/atom.

***

Computed, not measured: a geometry-optimized SmAlGa2Pd2 structure at the PBE level of DFT.

Unit cell a=5.3826 b=5.3826 c=4.2898 alpha=90.00 beta=90.00 gamma=119.40
Closest atoms and distances in Å follow each position.
Fractional coordinates of all 6 atoms:
Al 0.0000 0.0000 0.5000  4 Pd 2.64, 4 Ga 2.69
Ga 0.5000 0.0000 0.5000  4 Pd 2.66, 2 Al 2.69, 2 Ga 2.72
Ga 0.0000 0.5000 0.5000  4 Pd 2.66, 2 Al 2.69, 2 Ga 2.72
Pd 0.8351 0.1649 0.0000  2 Al 2.64, 4 Ga 2.66
Pd 0.1649 0.8351 0.0000  2 Al 2.64, 4 Ga 2.66
Sm 0.5000 0.5000 0.0000  6 Pd 3.11-3.12, 8 Ga 3.44, 4 Al 3.46

The value obtained for the size of the total moment is 0.001 μB/f.u. As for the space-group type: No. 65. The total energy is -4.94 eV/atom.

***

Computed, not measured: a geometry-optimized BiIr2W structure at the PBE level of DFT.

Unit cell a=4.6124 b=4.6124 c=4.6124 alpha=60.00 beta=60.00 gamma=60.00
Closest atoms and distances in Å follow each position.
Fractional coordinates of all 4 atoms:
Bi 0.5000 0.5000 0.5000  4 Ir 2.82, 4 W 2.82
Ir 0.0000 0.0000 0.0000  4 W 2.82, 4 Ir 2.82
Ir 0.7500 0.7500 0.7500  4 Bi 2.82, 4 Ir 2.82
W 0.2500 0.2500 0.2500  4 Bi 2.82, 4 Ir 2.82

The value obtained for the size of the total moment is 0.000 μB/f.u. As for the space-group type: No. 216. The total energy is -8.02 eV/atom.

***

Computed, not measured: a geometry-optimized Dy2Er3TmBi2Os structure at the PBE level of DFT.

Unit cell a=4.2218 b=8.2473 c=8.2473 alpha=119.72 beta=90.00 gamma=90.00
Closest atoms and distances in Å follow each position.
Fractional coordinates of all 9 atoms:
Bi 0.5000 0.6644 0.3333  1 Tm 3.22, 2 Dy 3.25, 6 Er 3.30-3.34
Bi 0.5000 0.3333 0.6644  1 Tm 3.22, 2 Dy 3.25, 6 Er 3.30-3.34
Dy 0.5000 0.9996 0.7657  2 Os 2.88
Dy 0.5000 0.7657 0.9996  2 Os 2.88
Er 0.0000 0.3847 0.0002  1 Os 3.15, 4 Bi 3.32-3.34, 2 Tm 3.48, 2 Dy 3.49
Er 0.0000 0.0002 0.3847  1 Os 3.15, 4 Bi 3.32-3.34, 2 Tm 3.48, 2 Dy 3.49
Er 0.0000 0.6123 0.6123  1 Os 3.26, 4 Bi 3.30, 4 Dy 3.50
Os 0.0000 0.0056 0.0056  2 Tm 2.84, 4 Dy 2.88, 2 Er 3.15
Tm 0.5000 0.2342 0.2342  2 Os 2.84

The value obtained for the size of the total moment is 0.022 μB/f.u. As for the space-group type: No. 38. The total energy is -5.73 eV/atom.

***

Computed, not measured: a geometry-optimized CuRe3Pb5 structure at the PBE level of DFT.

Unit cell a=5.4859 b=5.4859 c=8.6509 alpha=90.00 beta=90.00 gamma=120.00
Closest atoms and distances in Å follow each position.
Fractional coordinates of all 9 atoms:
Cu 0.0000 0.0000 0.0000  12 Pb 3.60
Pb 0.6667 0.3333 0.1982  3 Re 3.05, 3 Pb 3.17
Pb 0.3333 0.6667 0.1982  3 Re 3.05, 3 Pb 3.17
Pb 0.0000 0.0000 0.5000  6 Re 2.74
Pb 0.6667 0.3333 0.8018  3 Re 3.05, 3 Pb 3.17
Pb 0.3333 0.6667 0.8018  3 Re 3.05, 3 Pb 3.17
Re 0.5000 0.0000 0.5000  4 Re 2.74, 6 Pb 2.74-3.05
Re 0.0000 0.5000 0.5000  6 Pb 2.74-3.05, 4 Re 2.74
Re 0.5000 0.5000 0.5000  4 Re 2.74, 6 Pb 2.74-3.05

The value obtained for the size of the total moment is 0.000 μB/f.u. As for the space-group type: No. 191. The total energy is -5.93 eV/atom.

***

Computed, not measured: a geometry-optimized GdAlPO structure at the PBE level of DFT.

Unit cell a=3.9913 b=3.9913 c=8.5213 alpha=90.00 beta=90.00 gamma=90.00
Closest atoms and distances in Å follow each position.
Fractional coordinates of all 8 atoms:
Al 0.7500 0.2500 0.5000  4 P 2.45
Al 0.2500 0.7500 0.5000  4 P 2.45
Gd 0.2500 0.2500 0.1281  4 O 2.27
Gd 0.7500 0.7500 0.8719  4 O 2.27
O 0.7500 0.2500 0.0000  4 Gd 2.27
O 0.2500 0.7500 0.0000  4 Gd 2.27
P 0.7500 0.7500 0.3337  4 Al 2.45
P 0.2500 0.2500 0.6663  4 Al 2.45

The value obtained for the size of the total moment is 0.004 μB/f.u. As for the space-group type: No. 129. Its distance to the lowest polymorph of the same formula is 0.000 eV per formula unit.

***

Computed, not measured: a geometry-optimized Ba3Ag4As4 structure at the PBE level of DFT.

Unit cell a=8.9233 b=8.9233 c=8.9233 alpha=148.51 beta=131.58 gamma=58.91
Closest atoms and distances in Å follow each position.
Fractional coordinates of all 11 atoms:
Ag 0.6402 0.3324 0.3078  4 As 2.78-2.90, 1 Ag 2.81
Ag 0.9755 0.6676 0.3078  4 As 2.78-2.90, 1 Ag 2.81
Ag 0.0245 0.3324 0.6922  4 As 2.78-2.90, 1 Ag 2.81
Ag 0.3598 0.6676 0.6922  4 As 2.78-2.90, 1 Ag 2.81
As 0.2170 0.2170 0.0000  6 Ag 2.88-2.90
As 0.7830 0.7830 0.0000  6 Ag 2.88-2.90
As 0.6755 0.5000 0.1755  1 As 2.57, 2 Ag 2.78
As 0.3245 0.5000 0.8245  1 As 2.57, 2 Ag 2.78
Ba 0.0000 0.0000 0.0000  6 As 3.37-3.39
Ba 0.6312 0.1312 0.5000  6 Ag 3.36-3.43, 6 As 3.38-3.42
Ba 0.3688 0.8688 0.5000  6 Ag 3.36-3.43, 6 As 3.38-3.42

As for the space-group type: No. 71. The total energy is -3.86 eV/atom.